Record 1
# Sc2W3O12 PBEsol optimized geometry
# * E: -643.879 eV per cell
# * uncorrected formation energy: -2.550 eV/atom
# * magnetic moment: 0.00 μB per atom
# * DOS at the Fermi energy: 0.0 states/eV per cell
# * density: 4.38 Mg/m³
data_Sc2W3O12
_symmetry_space_group_name_H-M 'P b c n'
_symmetry_Int_Tables_number 60
_symmetry_space_group_name_Hall '-P 2n 2ab'
_cell_length_a 13.4627
_cell_length_b 9.6360
_cell_length_c 9.7405
_cell_angle_alpha 90.00
_cell_angle_beta 90.00
_cell_angle_gamma 90.00
loop_
_atom_site_label
_atom_site_type_symbol
_atom_site_fract_x
_atom_site_fract_y
_atom_site_fract_z
_atom_site_occupancy
Sc1 Sc 0.1184 0.2495 0.0330 1
W1 W 0.0000 0.0254 0.7500 1
W2 W 0.1438 0.3929 0.3835 1
O1 O 0.0279 0.3181 0.4312 1
O2 O 0.0636 0.1319 0.8711 1
O3 O 0.0883 0.0821 0.1640 1
O4 O 0.1395 0.4241 0.9115 1
O5 O 0.1653 0.3605 0.2054 1
O6 O 0.2404 0.3180 0.4850 1

***

Record 2
# VSbP2O8 PBEsol optimized geometry
# * E: -183.613 eV per cell
# * uncorrected formation energy: -2.003 eV/atom
# * magnetic moment: 0.17 μB per atom
# * DOS at the Fermi energy: 9.6 states/eV per cell
# * density: 3.91 Mg/m³
data_VSbP2O8
_symmetry_space_group_name_H-M 'P 1 21/m 1'
_symmetry_Int_Tables_number 11
_symmetry_space_group_name_Hall '-P 2yb'
_cell_length_a 4.8993
_cell_length_b 5.8106
_cell_length_c 10.9685
_cell_angle_alpha 90.00
_cell_angle_beta 99.67
_cell_angle_gamma 90.00
loop_
_atom_site_label
_atom_site_type_symbol
_atom_site_fract_x
_atom_site_fract_y
_atom_site_fract_z
_atom_site_occupancy
V1 V 0.0542 0.2500 0.3033 1
Sb1 Sb 0.4928 0.2500 0.7755 1
P1 P 0.1002 0.7500 0.4255 1
P2 P 0.4281 0.7500 0.8761 1
O1 O 0.1760 0.7500 0.5655 1
O2 O 0.2175 0.2500 0.6128 1
O3 O 0.2277 0.5378 0.3664 1
O4 O 0.2406 0.5452 0.8096 1
O5 O 0.2922 0.2500 0.1673 1
O6 O 0.4385 0.7500 0.0132 1

***

Record 3
# Sr2Al5Pd4 PBEsol optimized geometry
# * E: -224.214 eV per cell
# * magnetic moment: 0.00 μB per atom
# * formation enthalpy at 0 K: -8.080 eV/f.u.
# * DOS at the Fermi energy: 16.0 states/eV per cell
# * density: 5.74 Mg/m³
data_Sr2Al5Pd4
_symmetry_space_group_name_H-M 'P n m a'
_symmetry_Int_Tables_number 62
_symmetry_space_group_name_Hall '-P 2ac 2n'
_cell_length_a 18.0111
_cell_length_b 4.3097
_cell_length_c 10.9701
_cell_angle_alpha 90.00
_cell_angle_beta 90.00
_cell_angle_gamma 90.00
loop_
_atom_site_label
_atom_site_type_symbol
_atom_site_fract_x
_atom_site_fract_y
_atom_site_fract_z
_atom_site_occupancy
Sr1 Sr 0.0077 0.2500 0.2399 1
Sr2 Sr 0.1932 0.7500 0.1652 1
Al1 Al 0.0464 0.2500 0.5438 1
Al2 Al 0.1004 0.2500 0.9534 1
Al3 Al 0.1630 0.7500 0.6098 1
Al4 Al 0.1731 0.7500 0.8587 1
Al5 Al 0.1781 0.2500 0.4288 1
Pd1 Pd 0.0473 0.7500 0.0161 1
Pd2 Pd 0.0915 0.7500 0.4187 1
Pd3 Pd 0.1366 0.2500 0.7246 1
Pd4 Pd 0.2441 0.2500 0.9339 1

***

Record 4
# BaLiCl2 PBEsol optimized geometry
# * E: -28.881 eV per cell
# * uncorrected formation energy: -1.577 eV/atom
# * magnetic moment: 0.19 μB per atom
# * DOS at the Fermi energy: 3.5 states/eV per cell
# * density: 3.44 Mg/m³
data_BaLiCl2
_symmetry_space_group_name_H-M 'I m m 2'
_symmetry_Int_Tables_number 44
_symmetry_space_group_name_Hall 'I 2 -2'
_cell_length_a 3.7842
_cell_length_b 4.2015
_cell_length_c 13.0563
_cell_angle_alpha 90.00
_cell_angle_beta 90.00
_cell_angle_gamma 90.00
loop_
_atom_site_label
_atom_site_type_symbol
_atom_site_fract_x
_atom_site_fract_y
_atom_site_fract_z
_atom_site_occupancy
Ba1 Ba 0.0000 0.0000 0.0000 1
Li1 Li 0.0000 0.5000 0.2664 1
Cl1 Cl 0.0000 0.0000 0.6099 1
Cl2 Cl 0.0000 0.5000 0.8230 1

***

Record 5
# HgOsSeBr2 PBEsol optimized geometry
# * E: -12.369 eV per cell
# * uncorrected formation energy: 1.601 eV/atom
# * magnetic moment: 0.95 μB per atom
# * DOS at the Fermi energy: 5.5 states/eV per cell
# * density: 7.18 Mg/m³
data_HgOsSeBr2
_symmetry_space_group_name_H-M 'P 4/m m m'
_symmetry_Int_Tables_number 123
_symmetry_space_group_name_Hall '-P 4 2'
_cell_length_a 5.2573
_cell_length_b 5.2573
_cell_length_c 5.2688
_cell_angle_alpha 90.00
_cell_angle_beta 90.00
_cell_angle_gamma 90.00
loop_
_atom_site_label
_atom_site_type_symbol
_atom_site_fract_x
_atom_site_fract_y
_atom_site_fract_z
_atom_site_occupancy
Hg1 Hg 0.0000 0.0000 0.0000 1
Os1 Os 0.5000 0.5000 0.5000 1
Se1 Se 0.0000 0.0000 0.5000 1
Br1 Br 0.0000 0.5000 0.0000 1

***

Record 6
# TbTaTiO6 PBEsol optimized geometry
# * E: -345.944 eV per cell
# * uncorrected formation energy: -3.234 eV/atom
# * magnetic moment: 0.00 μB per atom
# * DOS at the Fermi energy: 0.0 states/eV per cell
# * density: 7.67 Mg/m³
data_TbTaTiO6
_symmetry_space_group_name_H-M 'P n a 21'
_symmetry_Int_Tables_number 33
_symmetry_space_group_name_Hall 'P 2c -2n'
_cell_length_a 10.9700
_cell_length_b 5.1809
_cell_length_c 7.3741
_cell_angle_alpha 90.00
_cell_angle_beta 90.00
_cell_angle_gamma 90.00
loop_
_atom_site_label
_atom_site_type_symbol
_atom_site_fract_x
_atom_site_fract_y
_atom_site_fract_z
_atom_site_occupancy
Tb1 Tb 0.0453 0.0440 0.0000 1
Ta1 Ta 0.1442 0.5414 0.2581 1
Ti1 Ti 0.1405 0.5385 0.7431 1
O1 O 0.0245 0.2627 0.7091 1
O2 O 0.0280 0.2578 0.2935 1
O3 O 0.1172 0.6773 0.5035 1
O4 O 0.1440 0.4399 0.9991 1
O5 O 0.2059 0.8807 0.8183 1
O6 O 0.2113 0.8851 0.1839 1

***

Record 7
# Nb2Pd PBEsol optimized geometry
# * E: -113.271 eV per cell
# * magnetic moment: 0.00 μB per atom
# * formation enthalpy at 0 K: -0.716 eV/f.u.
# * DOS at the Fermi energy: 8.8 states/eV per cell
# * density: 9.79 Mg/m³
data_Nb2Pd
_symmetry_space_group_name_H-M 'F m m m'
_symmetry_Int_Tables_number 69
_symmetry_space_group_name_Hall '-F 2 2'
_cell_length_a 3.6039
_cell_length_b 4.2486
_cell_length_c 12.9484
_cell_angle_alpha 90.00
_cell_angle_beta 90.00
_cell_angle_gamma 90.00
loop_
_atom_site_label
_atom_site_type_symbol
_atom_site_fract_x
_atom_site_fract_y
_atom_site_fract_z
_atom_site_occupancy
Nb1 Nb 0.0000 0.0000 0.1621 1
Pd1 Pd 0.0000 0.0000 0.5000 1

***

Record 8
# CaAs2Br PBEsol optimized geometry
# * E: -33.969 eV per cell
# * uncorrected formation energy: -0.692 eV/atom
# * magnetic moment: 0.00 μB per atom
# * DOS at the Fermi energy: 2.3 states/eV per cell
# * density: 4.68 Mg/m³
data_CaAs2Br
_symmetry_space_group_name_H-M 'I m m 2'
_symmetry_Int_Tables_number 44
_symmetry_space_group_name_Hall 'I 2 -2'
_cell_length_a 3.7779
_cell_length_b 5.8053
_cell_length_c 8.7228
_cell_angle_alpha 90.00
_cell_angle_beta 90.00
_cell_angle_gamma 90.00
loop_
_atom_site_label
_atom_site_type_symbol
_atom_site_fract_x
_atom_site_fract_y
_atom_site_fract_z
_atom_site_occupancy
Ca1 Ca 0.0000 0.0000 0.0000 1
As1 As 0.0000 0.0000 0.4777 1
As2 As 0.0000 0.5000 0.8004 1
Br1 Br 0.0000 0.5000 0.2500 1

***

Record 9
# Mn5As PBEsol optimized geometry
# * E: -108.249 eV per cell
# * magnetic moment: 0.48 μB per atom
# * formation enthalpy at 0 K: -0.213 eV/f.u.
# * DOS at the Fermi energy: 11.5 states/eV per cell
# * density: 8.67 Mg/m³
data_Mn5As
_symmetry_space_group_name_H-M 'C m m m'
_symmetry_Int_Tables_number 65
_symmetry_space_group_name_Hall '-C 2 2'
_cell_length_a 3.6239
_cell_length_b 10.2213
_cell_length_c 3.6158
_cell_angle_alpha 90.00
_cell_angle_beta 90.00
_cell_angle_gamma 90.00
loop_
_atom_site_label
_atom_site_type_symbol
_atom_site_fract_x
_atom_site_fract_y
_atom_site_fract_z
_atom_site_occupancy
Mn1 Mn 0.0000 0.0000 0.0000 1
Mn2 Mn 0.0000 0.1746 0.5000 1
Mn3 Mn 0.0000 0.3259 0.0000 1
As1 As 0.0000 0.5000 0.5000 1

***

Record 10
# KAuCl2 PBEsol optimized geometry
# * E: -39.453 eV per cell
# * uncorrected formation energy: -1.019 eV/atom
# * magnetic moment: 0.00 μB per atom
# * DOS at the Fermi energy: 0.0 states/eV per cell
# * density: 3.43 Mg/m³
data_KAuCl2
_symmetry_space_group_name_H-M 'R -3 m'
_symmetry_Int_Tables_number 166
_symmetry_space_group_name_Hall '-R 3 2"'
_cell_length_a 4.9406
_cell_length_b 4.9406
_cell_length_c 21.0877
_cell_angle_alpha 90.00
_cell_angle_beta 90.00
_cell_angle_gamma 120.00
loop_
_atom_site_label
_atom_site_type_symbol
_atom_site_fract_x
_atom_site_fract_y
_atom_site_fract_z
_atom_site_occupancy
K1 K 0.0000 0.0000 0.0000 1
Au1 Au 0.0000 0.0000 0.5000 1
Cl1 Cl 0.0000 0.0000 0.3934 1

***

Record 11
# YSi2Cl PBEsol optimized geometry
# * E: -22.062 eV per cell
# * uncorrected formation energy: -0.435 eV/atom
# * magnetic moment: 0.00 μB per atom
# * DOS at the Fermi energy: 1.8 states/eV per cell
# * density: 3.54 Mg/m³
data_YSi2Cl
_symmetry_space_group_name_H-M 'P 4/m m m'
_symmetry_Int_Tables_number 123
_symmetry_space_group_name_Hall '-P 4 2'
_cell_length_a 4.0624
_cell_length_b 4.0624
_cell_length_c 5.1288
_cell_angle_alpha 90.00
_cell_angle_beta 90.00
_cell_angle_gamma 90.00
loop_
_atom_site_label
_atom_site_type_symbol
_atom_site_fract_x
_atom_site_fract_y
_atom_site_fract_z
_atom_site_occupancy
Y1 Y 0.0000 0.0000 0.0000 1
Si1 Si 0.5000 0.5000 0.2227 1
Cl1 Cl 0.0000 0.0000 0.5000 1

***

Record 12
# LiAl5 PBEsol optimized geometry
# * E: -22.466 eV per cell
# * magnetic moment: 0.00 μB per atom
# * formation enthalpy at 0 K: -0.041 eV/f.u.
# * DOS at the Fermi energy: 2.6 states/eV per cell
# * density: 2.43 Mg/m³
data_LiAl5
_symmetry_space_group_name_H-M 'P -6 2 m'
_symmetry_Int_Tables_number 189
_symmetry_space_group_name_Hall 'P -6 -2'
_cell_length_a 4.9278
_cell_length_b 4.9278
_cell_length_c 4.6183
_cell_angle_alpha 90.00
_cell_angle_beta 90.00
_cell_angle_gamma 120.00
loop_
_atom_site_label
_atom_site_type_symbol
_atom_site_fract_x
_atom_site_fract_y
_atom_site_fract_z
_atom_site_occupancy
Li1 Li 0.0000 0.0000 0.0000 1
Al1 Al 0.0000 0.6670 0.5000 1
Al2 Al 0.3333 0.6667 0.0000 1

***

Record 13
# Hf2Si2Au PBEsol optimized geometry
# * E: -80.062 eV per cell
# * uncorrected formation energy: -0.721 eV/atom
# * magnetic moment: 0.00 μB per atom
# * DOS at the Fermi energy: 3.7 states/eV per cell
# * density: 12.27 Mg/m³
data_Hf2Si2Au
_symmetry_space_group_name_H-M 'P 4/m b m'
_symmetry_Int_Tables_number 127
_symmetry_space_group_name_Hall '-P 4 2ab'
_cell_length_a 6.5668
_cell_length_b 6.5668
_cell_length_c 3.8308
_cell_angle_alpha 90.00
_cell_angle_beta 90.00
_cell_angle_gamma 90.00
loop_
_atom_site_label
_atom_site_type_symbol
_atom_site_fract_x
_atom_site_fract_y
_atom_site_fract_z
_atom_site_occupancy
Hf1 Hf 0.1747 0.3253 0.0000 1
Si1 Si 0.1245 0.6245 0.5000 1
Au1 Au 0.0000 0.0000 0.5000 1

***

Record 14
# Co3TcO PBEsol optimized geometry
# * E: -39.078 eV per cell
# * uncorrected formation energy: 0.130 eV/atom
# * magnetic moment: 1.06 μB per atom
# * DOS at the Fermi energy: 5.5 states/eV per cell
# * density: 9.12 Mg/m³
data_Co3TcO
_symmetry_space_group_name_H-M 'P m -3 m'
_symmetry_Int_Tables_number 221
_symmetry_space_group_name_Hall '-P 4 2 3'
_cell_length_a 3.7549
_cell_length_b 3.7549
_cell_length_c 3.7549
_cell_angle_alpha 90.00
_cell_angle_beta 90.00
_cell_angle_gamma 90.00
loop_
_atom_site_label
_atom_site_type_symbol
_atom_site_fract_x
_atom_site_fract_y
_atom_site_fract_z
_atom_site_occupancy
Co1 Co 0.0000 0.0000 0.5000 1
Tc1 Tc 0.5000 0.5000 0.5000 1
O1 O 0.0000 0.0000 0.0000 1

***

Record 15
# Tl2MoAs PBEsol optimized geometry
# * E: -21.521 eV per cell
# * magnetic moment: 0.00 μB per atom
# * formation enthalpy at 0 K: 0.614 eV/f.u.
# * DOS at the Fermi energy: 3.3 states/eV per cell
# * density: 11.14 Mg/m³
data_Tl2MoAs
_symmetry_space_group_name_H-M 'P 1 m 1'
_symmetry_Int_Tables_number 6
_symmetry_space_group_name_Hall 'P -2y'
_cell_length_a 3.1827
_cell_length_b 3.1829
_cell_length_c 8.5276
_cell_angle_alpha 90.00
_cell_angle_beta 90.04
_cell_angle_gamma 90.00
loop_
_atom_site_label
_atom_site_type_symbol
_atom_site_fract_x
_atom_site_fract_y
_atom_site_fract_z
_atom_site_occupancy
Tl1 Tl 0.0000 0.0000 0.0000 1
Tl2 Tl 0.4949 0.5000 0.3264 1
Mo1 Mo 0.5003 0.5000 0.7541 1
As1 As 0.9999 0.0000 0.6133 1

***

Record 16
# FeCoW2 PBEsol optimized geometry
# * E: -172.497 eV per cell
# * magnetic moment: 0.00 μB per atom
# * formation enthalpy at 0 K: 1.191 eV/f.u.
# * DOS at the Fermi energy: 18.9 states/eV per cell
# * density: 15.41 Mg/m³
data_FeCoW2
_symmetry_space_group_name_H-M 'F -4 3 m'
_symmetry_Int_Tables_number 216
_symmetry_space_group_name_Hall 'F -4 2 3'
_cell_length_a 5.9244
_cell_length_b 5.9244
_cell_length_c 5.9244
_cell_angle_alpha 90.00
_cell_angle_beta 90.00
_cell_angle_gamma 90.00
loop_
_atom_site_label
_atom_site_type_symbol
_atom_site_fract_x
_atom_site_fract_y
_atom_site_fract_z
_atom_site_occupancy
Fe1 Fe 0.0000 0.0000 0.0000 1
Co1 Co 0.2500 0.2500 0.2500 1
W1 W 0.0000 0.0000 0.5000 1
W2 W 0.2500 0.2500 0.7500 1

***

Record 17
# CaSnF6 PBEsol optimized geometry
# * E: -127.815 eV per cell
# * uncorrected formation energy: -3.081 eV/atom
# * magnetic moment: 0.00 μB per atom
# * DOS at the Fermi energy: 0.0 states/eV per cell
# * density: 3.28 Mg/m³
data_CaSnF6
_symmetry_space_group_name_H-M 'R -3'
_symmetry_Int_Tables_number 148
_symmetry_space_group_name_Hall '-R 3'
_cell_length_a 5.7088
_cell_length_b 5.7088
_cell_length_c 14.6810
_cell_angle_alpha 90.00
_cell_angle_beta 90.00
_cell_angle_gamma 120.00
loop_
_atom_site_label
_atom_site_type_symbol
_atom_site_fract_x
_atom_site_fract_y
_atom_site_fract_z
_atom_site_occupancy
Ca1 Ca 0.0000 0.0000 0.0000 1
Sn1 Sn 0.0000 0.0000 0.5000 1
F1 F 0.0220 0.4248 0.2448 1